A relaxed NaCrSe2 crystal. Source: Alexandria, functional PBE-GGA.

Unit cell a=4.583 b=4.583 c=4.583 alpha=60.00 beta=60.00 gamma=60.00
Fractional coordinates of all 4 atoms:
1 Na 0.000 0.000 0.000
2 Cr 0.500 0.500 0.500
3 Se 0.250 0.250 0.250
4 Se 0.750 0.750 0.750

## Properties
N(E_F) (states/eV/f.u.): 8.5
E_form (uncorrected) (meV per atom): 17.7
Total magnetization (μB per cell): 0.00
VASP energy (eV per atom): -4.460